1.
This record from the Alexandria database describes an optimized crystal structure of MoPt2. The functional is PBE.

Values from the calculation:
D(E_F): 5.97 states/eV/cell
symmetry: No. 8
calculated formation energy: -4.416 kcal/mol of atoms
crystal system: monoclinic
total magnetic moment: 0.00 μB/atom

abc: 5.3862 5.3862 6.6678
angles: 75.74 75.74 30.01
Sites, in units of the cell vectors:
Pt (0.2839, 0.2839, 0.9505)
Pt (0.9422, 0.9422, 0.6050)
Pt (0.6653, 0.6653, 0.6714)
Pt (0.6081, 0.6081, 0.2752)
Mo (0.0023, 0.0023, 0.9989)
Mo (0.3316, 0.3316, 0.3323)



2.
This record from the Alexandria database describes an optimized crystal structure of Li2LaPd2. The functional is PBE.

Values from the calculation:
D(E_F): 3.62 states/eV/cell
symmetry: No. 127
calculated formation energy: -10.604 kcal/mol of atoms
crystal system: tetragonal
total magnetic moment: 0.00 μB/atom

abc: 7.7197 7.7197 3.0780
angles: 90.00 90.00 90.00
Sites, in units of the cell vectors:
Pd (0.6722, 0.1722, 0.0000)
Pd (0.3278, 0.8278, 0.0000)
Pd (0.8278, 0.6722, 0.0000)
Pd (0.1722, 0.3278, 0.0000)
Li (0.6198, 0.8802, 0.5000)
Li (0.1198, 0.6198, 0.5000)
Li (0.8802, 0.3802, 0.5000)
Li (0.3802, 0.1198, 0.5000)
La (0.5000, 0.5000, 0.0000)
La (0.0000, 0.0000, 0.0000)



3.
This record from the Alexandria database describes an optimized crystal structure of Li2PmSc. The functional is PBE.

Values from the calculation:
D(E_F): 5.04 states/eV/cell
symmetry: No. 123
calculated formation energy: 4.300 kcal/mol of atoms
crystal system: tetragonal
total magnetic moment: 0.00 μB/atom

abc: 3.6164 3.6164 7.3511
angles: 90.00 90.00 90.00
Sites, in units of the cell vectors:
Li (0.0000, 0.0000, 0.7715)
Li (0.0000, 0.0000, 0.2285)
Sc (0.5000, 0.5000, 0.0000)
Pm (0.5000, 0.5000, 0.5000)



4.
This record from the Alexandria database describes an optimized crystal structure of YCo2Cu. The functional is PBE.

Values from the calculation:
D(E_F): 4.77 states/eV/cell
symmetry: No. 123
calculated formation energy: 2.651 kcal/mol of atoms
crystal system: tetragonal
total magnetic moment: 0.41 μB/atom

abc: 3.9366 3.9366 3.8355
angles: 90.00 90.00 90.00
Sites, in units of the cell vectors:
Co (0.5000, 0.5000, 0.0000)
Co (0.0000, 0.0000, 0.0000)
Y (0.0000, 0.5000, 0.5000)
Cu (0.5000, 0.0000, 0.5000)



5.
This record from the Alexandria database describes an optimized crystal structure of TlCuSn. The functional is PBE.

Values from the calculation:
D(E_F): 0.76 states/eV/cell
symmetry: No. 156
calculated formation energy: 4.527 kcal/mol of atoms
crystal system: trigonal
total magnetic moment: 0.00 μB/atom

abc: 4.2002 4.4728 4.4728
angles: 120.00 90.00 90.00
Sites, in units of the cell vectors:
Sn (0.2238, 0.3333, 0.6667)
Tl (0.7081, 0.6667, 0.3333)
Cu (0.0681, 0.0000, 0.0000)



6.
This record from the Alexandria database describes an optimized crystal structure of La2Pr6Sc. The functional is PBE.

Values from the calculation:
D(E_F): 15.69 states/eV/cell
symmetry: No. 187
calculated formation energy: 1.744 kcal/mol of atoms
crystal system: hexagonal
total magnetic moment: 0.00 μB/atom

abc: 3.6515 3.6515 27.4686
angles: 90.00 90.00 120.00
Sites, in units of the cell vectors:
Pr (0.6667, 0.3333, 0.9004)
Pr (0.3333, 0.6667, 0.7876)
Pr (0.6667, 0.3333, 0.0996)
Pr (0.3333, 0.6667, 0.4372)
Pr (0.3333, 0.6667, 0.5628)
Pr (0.3333, 0.6667, 0.2124)
La (0.6667, 0.3333, 0.6727)
La (0.6667, 0.3333, 0.3273)
Sc (0.3333, 0.6667, 0.0000)